YZrS2 | PBE | relaxed

Results
The calculation puts the energy at -7.066 eV/atom. The value obtained for the energy relative to the lowest polymorph listed for this composition is 0.421 eV per atom. The value obtained for the density of states at the Fermi level is 14.1 states/eV per cell. The calculation puts the total moment at 0.000 Bohr magnetons per cell. The calculation puts the uncorrected formation energy at -1.25 eV per atom.

Cell: 5.9175 5.9175 11.9684 Å, 90.00 90.00 90.00°
Last column: nearest neighbours and their distance in Å.
Space group I-42d (No. 122)
One atom of each set of equivalent atoms:
Y1 0.0000 0.0000 0.0000  4 S 2.64
Zr1 0.0000 0.0000 0.5000  4 S 2.51
S1 0.2305 0.2500 0.6250  2 Zr 2.51, 2 Y 2.64

TiGeBi2Os | PBE | relaxed

Results
The calculation puts the formation energy from the elements at 1.020 eV/atom. The calculation puts the energy at -5.281 eV/atom. The value obtained for the density of states at the Fermi level is 5.6 states/eV per cell. The calculation puts the total moment at 0.428 Bohr magnetons per cell.

Cell: 5.3547 5.3547 4.6417 Å, 90.00 90.00 90.00°
Last column: nearest neighbours and their distance in Å.
Space group P4/mmm (No. 123)
One atom of each set of equivalent atoms:
Ti1 0.0000 0.0000 0.0000  2 Os 2.32
Ge1 0.5000 0.5000 0.5000  8 Bi 3.54, 4 Os 3.79
Bi1 0.0000 0.5000 0.0000  2 Ti 2.68
Os1 0.0000 0.0000 0.5000  2 Ti 2.32

BaCN2 | PBE | relaxed

Results
The calculation puts the energy at -7.699 eV/atom. The value obtained for the density of states at the Fermi level is 0.0 states/eV per cell. The calculation puts the total moment at 0.000 Bohr magnetons per cell. The calculation puts the uncorrected formation energy at -0.75 eV per atom.

Cell: 5.9607 5.9607 6.7279 Å, 90.00 90.00 120.00°
Last column: nearest neighbours and their distance in Å.
Space group P3_121 (No. 152)
One atom of each set of equivalent atoms:
Ba1 0.0000 0.6436 0.1667  6 N 2.82-2.98
C1 0.0000 0.7291 0.6667  2 N 1.24
N1 0.1664 0.3734 0.9058  1 C 1.24

Cu2AsRh | PBE | relaxed

Results
The calculation puts the formation energy from the elements at -0.079 eV/atom. The calculation puts the energy at -5.127 eV/atom. The value obtained for the density of states at the Fermi level is 2.2 states/eV per cell. The calculation puts the total moment at 0.000 Bohr magnetons per cell.

Cell: 8.6596 3.1496 4.3361 Å, 90.00 110.58 90.00°
Last column: nearest neighbours and their distance in Å.
Space group Cm (No. 8)
One atom of each set of equivalent atoms:
Cu1 0.0000 0.0000 0.0000  3 Cu 2.49-2.57, 2 As 2.63, 4 Rh 2.69
Cu2 0.2498 0.0000 0.8421  3 Cu 2.49-2.57, 4 As 2.61-2.75, 1 Rh 2.77
As1 0.2405 0.5000 0.3547  3 Rh 2.47-2.55, 6 Cu 2.61-2.75
Rh1 0.4747 0.0000 0.4818  3 As 2.47-2.55, 4 Cu 2.69

LaTmZnSn | PBE | relaxed

Results
The calculation puts the formation energy from the elements at -0.501 eV/atom. The calculation puts the energy at -4.170 eV/atom. The value obtained for the density of states at the Fermi level is 7.8 states/eV per cell. The calculation puts the total moment at 0.000 Bohr magnetons per cell.

Cell: 7.4882 7.4882 7.4882 Å, 90.00 90.00 90.00°
Last column: nearest neighbours and their distance in Å.
Space group F-43m (No. 216)
One atom of each set of equivalent atoms:
La1 0.0000 0.0000 0.0000  4 Sn 3.24, 4 Zn 3.24
Tm1 0.0000 0.0000 0.5000  4 Zn 3.24, 4 Sn 3.24
Zn1 0.2500 0.2500 0.2500  4 La 3.24, 4 Tm 3.24
Sn1 0.2500 0.2500 0.7500  4 Tm 3.24, 4 La 3.24

PaZnH6Ru2 | PBE | relaxed

Results
The calculation puts the energy at -5.126 eV/atom. The value obtained for the density of states at the Fermi level is 16.2 states/eV per cell. The calculation puts the total moment at 0.000 Bohr magnetons per cell.

Cell: 4.4886 4.4886 15.1600 Å, 90.00 90.00 120.00°
Last column: nearest neighbours and their distance in Å.
Space group R-3m (No. 166, hexagonal axes)
One atom of each set of equivalent atoms:
Pa1 0.0000 0.0000 0.0000  12 H 2.40
Zn1 0.0000 0.0000 0.5000  6 H 2.11
H1 0.0010 0.5005 0.0566  1 Ru 1.68, 1 H 1.72
Ru1 0.0000 0.0000 0.2063  3 H 1.68

NaCe3Er2Se6 | PBE | relaxed

Results
The calculation puts the energy at -5.821 eV/atom. The value obtained for the density of states at the Fermi level is 39.3 states/eV per cell. The calculation puts the total moment at 7.308 Bohr magnetons per cell. The calculation puts the uncorrected formation energy at -1.72 eV per atom.

Cell: 7.1530 12.3898 7.2423 Å, 90.00 109.21 90.00°
Last column: nearest neighbours and their distance in Å.
Space group C2/m (No. 12)
One atom of each set of equivalent atoms:
Na1 0.0000 0.0000 0.0000  6 Se 2.89-2.91
Ce1 0.0000 0.1639 0.5000  6 Se 2.99-3.00
Ce2 0.0000 0.5000 0.5000  6 Se 2.98-3.00
Er1 0.0000 0.3332 0.0000  6 Se 2.86-2.87
Se1 0.2414 0.5000 0.2334  2 Er 2.86, 1 Na 2.89, 3 Ce 2.98-2.99
Se2 0.2477 0.1685 0.2372  2 Er 2.87, 1 Na 2.91, 3 Ce 2.99-3.00

BPH | PBE | relaxed

Results
The calculation puts the energy at -5.179 eV/atom. The value obtained for the energy relative to the lowest polymorph listed for this composition is 0.000 eV per atom. The calculation puts the total moment at 0.000 Bohr magnetons per cell.

Cell: 3.2110 3.2118 11.4665 Å, 85.94 82.19 60.02°
Last column: nearest neighbours and their distance in Å.
Space group P-1 (No. 2)
One atom of each set of equivalent atoms:
B1 0.1100 0.0243 0.3176  3 P 1.85-1.86
P1 0.4434 0.3575 0.3177  3 B 1.85-1.86
H1 0.4621 0.9481 0.9780  1 H 0.75

LaNd2In2Ga2 | PBE | relaxed

Results
The calculation puts the formation energy from the elements at -0.361 eV/atom. The calculation puts the energy at -4.074 eV/atom. The value obtained for the density of states at the Fermi level is 18.4 states/eV per cell. The calculation puts the total moment at 0.000 Bohr magnetons per cell.

Cell: 4.6498 4.6498 31.5105 Å, 90.00 90.00 120.00°
Last column: nearest neighbours and their distance in Å.
Space group R-3m (No. 166, hexagonal axes)
One atom of each set of equivalent atoms:
La1 0.0000 0.0000 0.0000  6 In 3.34
Nd1 0.0000 0.0000 0.1300  3 Ga 3.05, 3 In 3.41
In1 0.0000 0.0000 0.2703  3 Ga 2.76
Ga1 0.0000 0.0000 0.4173  3 In 2.76, 3 Nd 3.05

ZnP4Au | PBE | relaxed

Results
The calculation puts the formation energy from the elements at 0.631 eV/atom. The calculation puts the energy at -3.734 eV/atom. The value obtained for the density of states at the Fermi level is 7.9 states/eV per cell. The calculation puts the total moment at 0.000 Bohr magnetons per cell.

Cell: 7.3079 7.3079 7.3079 Å, 90.00 90.00 90.00°
Last column: nearest neighbours and their distance in Å.
Space group F-43m (No. 216)
One atom of each set of equivalent atoms:
Zn1 0.0000 0.0000 0.0000  12 P 3.04, 4 Au 3.16
P1 0.1222 0.1222 0.3778  6 P 2.53-2.64
Au1 0.2500 0.2500 0.7500  12 P 3.02, 4 Zn 3.16

TbNdZn2In2 | PBE | relaxed

Results
The calculation puts the formation energy from the elements at -0.451 eV/atom. The calculation puts the energy at -3.355 eV/atom. The value obtained for the density of states at the Fermi level is 3.5 states/eV per cell. The calculation puts the total moment at 0.000 Bohr magnetons per cell.

Cell: 4.7095 4.7095 7.4554 Å, 90.00 90.00 120.00°
Last column: nearest neighbours and their distance in Å.
Space group P-3m1 (No. 164)
One atom of each set of equivalent atoms:
Tb1 0.0000 0.0000 0.0000  6 Zn 3.19, 6 In 3.25
Nd1 0.0000 0.0000 0.5000  6 In 3.34, 6 Zn 3.41, 2 Tb 3.73
Zn1 0.3333 0.6667 0.7753  3 In 2.72
In1 0.3333 0.6667 0.2390  3 Zn 2.72

Pu2PaTi | PBE | relaxed

Results
The calculation puts the formation energy from the elements at 0.225 eV/atom. The calculation puts the energy at -11.288 eV/atom. The value obtained for the energy relative to the lowest polymorph listed for this composition is 0.065 eV per atom. The value obtained for the density of states at the Fermi level is 50.1 states/eV per cell. The calculation puts the total moment at 42.904 Bohr magnetons per cell.

Cell: 7.0471 7.0471 7.0471 Å, 90.00 90.00 90.00°
Last column: nearest neighbours and their distance in Å.
Space group Fm-3m (No. 225)
One atom of each set of equivalent atoms:
Pu1 0.2500 0.2500 0.2500  4 Pa 3.05, 4 Ti 3.05
Pa1 0.0000 0.0000 0.0000  8 Pu 3.05
Ti1 0.0000 0.0000 0.5000  8 Pu 3.05